VASP calculation (PBE) on a relaxed structure of RbAg3Sn.

Cell lengths 5.701, 5.701, 5.701 Å; angles 90.00, 90.00, 90.00 degrees
Element x y z (fractional)
Rb 0.000 0.000 0.000
Sn 0.500 0.500 0.500
Ag 0.000 0.500 0.000
Ag 0.000 0.000 0.500
Ag 0.500 0.000 0.000

Calculated values
The energy relative to the elements is 6.002 eV per formula unit. The calculation puts the final energy at -1.504 eV/atom.